A relaxed Li3Fe10O7F9 crystal, computed with PBE+U.

For the calculated volume, the calculation gives 337.1 Å³ per cell. The space-group type is P1 (1). The value obtained for the calculated total energy is -170.462 eV for the cell shown. Its theoretical density is 4.2 g/cm³.

```
Li3Fe10O7F9
1.0
6.102 0.000 0.000
2.952 5.470 0.000
2.839 1.646 10.098
Li Fe O F
3 10 7 9
Direct
0.000 0.000 0.000 Li
0.209 0.135 0.432 Li
0.780 0.875 0.581 Li
0.244 0.256 0.758 Fe
0.247 0.730 0.252 Fe
0.258 0.765 0.759 Fe
0.485 0.001 0.992 Fe
0.491 0.507 0.505 Fe
0.498 0.520 0.992 Fe
0.737 0.256 0.252 Fe
0.741 0.279 0.752 Fe
0.750 0.735 0.254 Fe
0.996 0.503 0.004 Fe
0.094 0.656 0.127 O
0.345 0.889 0.886 O
0.362 0.385 0.887 O
0.406 0.810 0.367 O
0.580 0.201 0.639 O
0.633 0.596 0.128 O
0.880 0.357 0.885 O
0.111 0.118 0.128 F
0.115 0.660 0.641 F
0.118 0.124 0.632 F
0.379 0.353 0.374 F
0.615 0.655 0.629 F
0.626 0.112 0.117 F
0.860 0.907 0.368 F
0.868 0.889 0.884 F
0.877 0.358 0.377 F
```